Compound: Ti3Rh2Au3
Source: the Alexandria database
Functional: PBE
Structure: relaxed

The value obtained for the formation energy is -562 meV/atom. The value obtained for the volume is 131 Å³ per cell. Its energy is -6.59 eV/atom.

The structure belongs to space group P-62m (No. 189); the cell edges are 7.1578, 7.1578 and 2.9625 Å and the angles 90.00°, 90.00° and 120.00°. The asymmetric unit holds Ti at (0.0000, 0.5888, 0.0000), Rh at (0.3333, 0.6667, 0.5000) and Au at (0.0000, 0.2326, 0.5000).